The following is a DFT calculation (GGA+U) of a relaxed LiNiBrO4 crystal.

Properties
Size of the total moment: 0.013 μB/f.u.
Theoretical density: 4.23 Mg/m³
Uncorrected energy: -4.175 eV per atom

a b c (Å): 5.8621 6.1509 6.1509
angles (deg): 63.78 61.54 61.54
Positions (direct):
1 Br 0.6800 0.5700 0.0700
2 Br 0.3200 0.4300 0.9300
3 Li 0.0000 0.5000 0.5000
4 Li 0.0000 0.0000 0.0000
5 Ni 0.5000 0.0000 0.5000
6 Ni 0.0000 0.0000 0.5000
7 O 0.7874 0.6903 0.1903
8 O 0.2324 0.8264 0.7088
9 O 0.2126 0.3097 0.8097
10 O 0.2324 0.2088 0.3264
11 O 0.7676 0.1736 0.2912
12 O 0.7676 0.7912 0.6736
13 O 0.6680 0.3097 0.8097
14 O 0.3320 0.6903 0.1903